3
Lattice="-4.350 0.220 -5.618 -5.576 -1.290 -3.824 -0.800 2.515 -0.185" Properties=species:S:1:pos:R:3 comment="CuOsRu, relaxed, DFT PBE-GGA" spacegroup="Fmm2, No. 42" de_polymorph_ev_per_atom=0.314 e_tot_ev_per_atom=-7.6975 crystal_system=orthorhombic formation_energy_ev_per_atom=0.50 pbc="T T T"
Cu -0.802 2.514 -0.187
Os -3.830 1.325 -3.259
Ru -6.894 0.121 -6.368

3
Lattice="2.710 0.000 0.000 -1.355 2.347 0.000 0.000 0.000 6.502" Properties=species:S:1:pos:R:3 comment="CuOsRu, relaxed, DFT PBE-GGA" spacegroup="P3m1, No. 156" de_polymorph_ev_per_atom=0.026 e_tot_ev_per_atom=-7.9860 crystal_system=trigonal formation_energy_ev_per_atom=0.21 pbc="T T T"
Os 1.355 0.782 2.206
Ru 0.000 1.565 4.294
Cu 0.000 0.000 0.001

4
Lattice="4.896 -0.003 -0.008 2.181 4.383 0.008 -3.062 -2.959 2.415" Properties=species:S:1:pos:R:3 comment="Cu2OsRu, relaxed, DFT PBE-GGA" spacegroup="Imm2, No. 44" de_polymorph_ev_per_atom=0.146 e_tot_ev_per_atom=-6.8438 crystal_system=orthorhombic formation_energy_ev_per_atom=0.33 pbc="T T T"
Os 3.572 2.211 0.000
Cu 2.762 -0.338 1.204
Cu 6.998 4.332 0.000
Ru 1.296 1.787 1.212

3
Lattice="-0.578 3.520 2.908 -1.120 -0.813 4.389 3.066 -0.806 -3.336" Properties=species:S:1:pos:R:3 comment="CuOsRu, relaxed, DFT PBE-GGA" spacegroup="Imm2, No. 44" de_polymorph_ev_per_atom=0.007 e_tot_ev_per_atom=-8.0042 crystal_system=orthorhombic formation_energy_ev_per_atom=0.20 pbc="T T T"
Cu -0.001 0.002 0.005
Ru -0.559 0.891 2.401
Os -1.138 1.815 4.891

12
Lattice="-2.287 -4.655 0.929 3.330 -1.727 -0.457 2.579 2.952 7.627" Properties=species:S:1:pos:R:3 comment="CuOsRu, relaxed, DFT PBE-GGA" spacegroup="C2/m, No. 12" de_polymorph_ev_per_atom=0.062 e_tot_ev_per_atom=-7.9496 crystal_system=monoclinic formation_energy_ev_per_atom=0.25 pbc="T T T"
Os 0.421 -0.663 5.568
Ru 2.422 -0.498 3.904
Cu 1.954 -0.680 1.186
Ru -0.532 -1.111 0.319
Cu 1.579 1.659 5.228
Cu 1.667 -2.750 6.913
Os 0.797 -3.002 1.526
Ru 1.199 -2.932 4.194
Ru 0.824 -0.593 8.236
Os -0.129 -1.041 2.987
Cu -1.287 -3.363 3.328
Os 2.825 -0.428 6.572

4
Lattice="3.730 0.000 0.000 0.000 2.715 0.054 0.000 2.632 5.317" Properties=species:S:1:pos:R:3 comment="Cu2OsRu, relaxed, DFT PBE-GGA" spacegroup="Pm, No. 6" de_polymorph_ev_per_atom=0.000 e_tot_ev_per_atom=-6.9894 crystal_system=monoclinic formation_energy_ev_per_atom=0.19 pbc="T T T"
Ru 1.865 4.008 3.936
Os 0.000 2.676 2.771
Cu 1.865 1.342 1.259
Cu 0.000 2.709 0.143